Entry from Alexandria: a relaxed MnIn2Ni crystal (GGA-PBE).

Unit cell a=4.622 b=4.622 c=4.622 alpha=60.00 beta=60.00 gamma=60.00
Positions (direct):
Mn  0.000  0.000  0.000
In  0.500  0.500  0.500
In  0.750  0.750  0.750
Ni  0.250  0.250  0.250

Output
* D(E_F): 2.316 states/eV per cell
* calculated formation energy: 0.26 eV/atom

Entry from Alexandria: a relaxed PrMg8Rh4 crystal (GGA-PBE).

Unit cell a=7.134 b=7.134 c=7.134 alpha=99.44 beta=99.44 gamma=132.21
Positions (direct):
Pr  0.000  0.000  0.000
Mg  0.000  0.333  0.333
Mg  0.000  0.667  0.667
Mg  0.276  0.500  0.776
Mg  0.333  0.000  0.333
Mg  0.500  0.276  0.776
Mg  0.500  0.724  0.224
Mg  0.667  0.000  0.667
Mg  0.724  0.500  0.224
Rh  0.000  0.000  0.500
Rh  0.000  0.500  0.000
Rh  0.500  0.000  0.000
Rh  0.500  0.500  0.500

Output
* D(E_F): 7.947 states/eV per cell
* calculated formation energy: -0.38 eV/atom

Entry from Alexandria: a relaxed In2Sn4Pb5 crystal (GGA-PBE).

Unit cell a=11.614 b=11.614 c=8.919 alpha=99.63 beta=99.63 gamma=16.18
Positions (direct):
In  0.084  0.084  0.218
In  0.916  0.916  0.782
Sn  0.053  0.053  0.855
Sn  0.320  0.320  0.036
Sn  0.680  0.680  0.964
Sn  0.947  0.947  0.145
Pb  0.139  0.139  0.587
Pb  0.228  0.228  0.303
Pb  0.500  0.500  0.500
Pb  0.772  0.772  0.697
Pb  0.861  0.861  0.413

Output
* D(E_F): 4.559 states/eV per cell
* calculated formation energy: 0.05 eV/atom

Entry from Alexandria: a relaxed Dy8Bi5Sb crystal (GGA-PBE).

Unit cell a=8.101 b=8.101 c=8.101 alpha=109.60 beta=109.60 gamma=109.20
Positions (direct):
Dy  0.125  0.381  0.109
Dy  0.128  0.381  0.603
Dy  0.272  0.016  0.891
Dy  0.475  0.872  0.252
Dy  0.619  0.223  0.748
Dy  0.619  0.728  0.744
Dy  0.777  0.525  0.397
Dy  0.984  0.875  0.256
Bi  0.377  0.250  0.372
Bi  0.500  0.500  0.000
Bi  0.750  0.122  0.127
Bi  0.878  0.005  0.628
Bi  0.995  0.623  0.873
Sb  0.250  0.750  0.500

Output
* D(E_F): 16.016 states/eV per cell
* formation energy without anion corrections: -1040 kJ/mol of formula units

Entry from Alexandria: a relaxed Sb2AsPd2 crystal (GGA-PBE).

Unit cell a=7.401 b=7.401 c=3.731 alpha=90.00 beta=90.00 gamma=90.00
Positions (direct):
Sb  0.163  0.337  0.000
Sb  0.337  0.837  0.000
Sb  0.663  0.163  0.000
Sb  0.837  0.663  0.000
As  0.000  0.000  0.500
As  0.500  0.500  0.500
Pd  0.134  0.634  0.500
Pd  0.366  0.134  0.500
Pd  0.634  0.866  0.500
Pd  0.866  0.366  0.500

Output
* D(E_F): 3.722 states/eV per cell
* energy above the most stable polymorph in this dataset: 0.00 eV/f.u.
* formation energy without anion corrections: -56 kJ/mol of formula units

Entry from Alexandria: a relaxed Cs2MgAuBr6 crystal (GGA-PBE).

Unit cell a=7.823 b=7.823 c=7.823 alpha=119.02 beta=119.02 gamma=91.70
Positions (direct):
Cs  0.250  0.750  0.500
Cs  0.750  0.250  0.500
Mg  0.000  0.000  0.000
Au  0.500  0.500  0.000
Br  0.235  0.235  0.469
Br  0.235  0.765  0.000
Br  0.269  0.269  0.000
Br  0.731  0.731  0.000
Br  0.765  0.235  0.000
Br  0.765  0.765  0.531

Output
* D(E_F): 5.372 states/eV per cell
* formation energy without anion corrections: -1105 kJ/mol of formula units

Entry from Alexandria: a relaxed V4GaTc crystal (GGA-PBE).

Unit cell a=4.977 b=4.977 c=5.210 alpha=121.00 beta=121.00 gamma=51.17
Positions (direct):
V  0.158  0.158  0.484
V  0.179  0.179  0.009
V  0.821  0.821  0.991
V  0.842  0.842  0.516
Ga  0.500  0.500  0.000
Tc  0.500  0.500  0.500

Output
* D(E_F): 7.008 states/eV per cell
* energy above the most stable polymorph in this dataset: 0.00 eV/f.u.
* calculated formation energy: -0.18 eV/atom

Entry from Alexandria: a relaxed TlNi2N2 crystal (GGA-PBE).

Unit cell a=7.026 b=7.026 c=2.970 alpha=90.00 beta=90.00 gamma=90.00
Positions (direct):
Tl  0.000  0.000  0.000
Tl  0.500  0.500  0.000
Ni  0.131  0.369  0.000
Ni  0.369  0.869  0.000
Ni  0.631  0.131  0.000
Ni  0.869  0.631  0.000
N  0.065  0.565  0.500
N  0.435  0.065  0.500
N  0.565  0.935  0.500
N  0.935  0.435  0.500

Output
* D(E_F): 7.288 states/eV per cell
* energy above the most stable polymorph in this dataset: 1.85 eV/f.u.
* formation energy without anion corrections: 413 kJ/mol of formula units

Entry from Alexandria: a relaxed Y4CS2Cl crystal (GGA-PBE).

Unit cell a=6.616 b=3.800 c=6.866 alpha=90.00 beta=108.48 gamma=90.00
Positions (direct):
Y  0.220  0.000  0.209
Y  0.243  0.500  0.787
Y  0.757  0.500  0.213
Y  0.780  0.000  0.791
C  0.000  0.500  0.000
S  0.500  0.000  0.000
S  0.500  0.500  0.500
Cl  0.000  0.000  0.500

Output
* D(E_F): 2.514 states/eV per cell
* formation energy without anion corrections: -1149 kJ/mol of formula units

Entry from Alexandria: a relaxed RbLiBi2Se4 crystal (GGA-PBE).

Unit cell a=7.618 b=7.618 c=15.014 alpha=90.00 beta=90.00 gamma=147.25
Positions (direct):
Rb  0.107  0.893  0.750
Rb  0.893  0.107  0.250
Li  0.160  0.840  0.250
Li  0.840  0.160  0.750
Bi  0.366  0.634  0.562
Bi  0.366  0.634  0.938
Bi  0.634  0.366  0.062
Bi  0.634  0.366  0.438
Se  0.000  0.000  0.000
Se  0.000  0.000  0.500
Se  0.261  0.739  0.109
Se  0.261  0.739  0.391
Se  0.427  0.573  0.750
Se  0.573  0.427  0.250
Se  0.739  0.261  0.609
Se  0.739  0.261  0.891

Output
* formation energy without anion corrections: -576 kJ/mol of formula units

Entry from Alexandria: a relaxed Tb4MgSe7 crystal (GGA-PBE).

Unit cell a=6.910 b=6.910 c=12.101 alpha=104.37 beta=104.37 gamma=33.53
Positions (direct):
Tb  0.000  0.000  0.000
Tb  0.193  0.193  0.767
Tb  0.580  0.580  0.364
Tb  0.886  0.886  0.562
Mg  0.771  0.771  0.145
Se  0.154  0.154  0.215
Se  0.224  0.224  0.518
Se  0.382  0.382  0.071
Se  0.547  0.547  0.619
Se  0.630  0.630  0.927
Se  0.850  0.850  0.782
Se  0.922  0.922  0.343

Output
* formation energy without anion corrections: -2033 kJ/mol of formula units

Entry from Alexandria: a relaxed Ni2Pd9Au crystal (GGA-PBE).

Unit cell a=3.922 b=3.922 c=11.708 alpha=90.00 beta=90.00 gamma=90.00
Positions (direct):
Ni  0.000  0.000  0.161
Ni  0.000  0.000  0.839
Pd  0.000  0.500  0.000
Pd  0.000  0.500  0.323
Pd  0.000  0.500  0.677
Pd  0.500  0.000  0.000
Pd  0.500  0.000  0.323
Pd  0.500  0.000  0.677
Pd  0.500  0.500  0.161
Pd  0.500  0.500  0.500
Pd  0.500  0.500  0.839
Au  0.000  0.000  0.500

Output
* D(E_F): 21.814 states/eV per cell
* calculated formation energy: 0.01 eV/atom

Calculated values (Å³/cell) of calculated volume for the records, taken in order: 69.8 245.9 330.3 409.2 204.3 343.4 82.5 146.6 163.7 471.4 308.3 180.1.